DFT (PBE-GGA) results for crystalline Cr2ReBPt at its relaxed geometry.

abc: 4.6436 4.6436 4.8321
angles: 90.00 90.00 90.00
Positions (direct):
1 Cr 0.0000 0.5000 0.0000
2 Cr 0.5000 0.0000 0.0000
3 Re 0.0000 0.0000 0.0000
4 B 0.5000 0.5000 0.5000
5 Pt 0.0000 0.0000 0.5000

## Properties
space group: No. 123
calculated formation energy: 2.0631 eV per atom

---

DFT (PBE-GGA) results for crystalline CrBPtRh2 at its relaxed geometry.

abc: 4.8170 4.8170 4.6885
angles: 90.00 90.00 90.00
Positions (direct):
1 Cr 0.0000 0.0000 0.0000
2 B 0.5000 0.5000 0.0000
3 Pt 0.0000 0.0000 0.5000
4 Rh 0.0000 0.5000 0.5000
5 Rh 0.5000 0.0000 0.5000

## Properties
space group: No. 123
calculated formation energy: 2.0799 eV per atom

---

DFT (PBE-GGA) results for crystalline Cr2BPtSe at its relaxed geometry.

abc: 5.0254 5.0254 3.9331
angles: 90.00 90.00 90.00
Positions (direct):
1 Cr 0.0000 0.5000 0.0000
2 Cr 0.5000 0.0000 0.0000
3 B 0.0000 0.0000 0.5000
4 Pt 0.0000 0.0000 0.0000
5 Se 0.5000 0.5000 0.5000

## Properties
space group: No. 123
raw formation energy: 67 kJ/mol of atoms

---

DFT (PBE-GGA) results for crystalline SrCr2BPt at its relaxed geometry.

abc: 4.0288 4.0288 5.1553
angles: 90.00 90.00 90.00
Positions (direct):
1 Sr 0.0000 0.0000 0.0000
2 Cr 0.0000 0.5000 0.5000
3 Cr 0.5000 0.0000 0.5000
4 B 0.0000 0.0000 0.5000
5 Pt 0.5000 0.5000 0.0000

## Properties
space group: No. 123
calculated formation energy: 0.6681 eV per atom

---

DFT (PBE-GGA) results for crystalline CrBTePt2 at its relaxed geometry.

abc: 4.9845 4.9845 4.2612
angles: 90.00 90.00 90.00
Positions (direct):
1 Cr 0.0000 0.0000 0.0000
2 B 0.5000 0.5000 0.0000
3 Te 0.5000 0.5000 0.5000
4 Pt 0.0000 0.5000 0.5000
5 Pt 0.5000 0.0000 0.5000

## Properties
space group: No. 123
raw formation energy: 173 kJ/mol of atoms

---

DFT (PBE-GGA) results for crystalline V2CrBPt at its relaxed geometry.

abc: 4.6955 4.6955 4.8123
angles: 90.00 90.00 90.00
Positions (direct):
1 V 0.0000 0.5000 0.0000
2 V 0.5000 0.0000 0.0000
3 Cr 0.0000 0.0000 0.5000
4 B 0.5000 0.5000 0.5000
5 Pt 0.0000 0.0000 0.0000

## Properties
space group: No. 123
calculated formation energy: 1.7665 eV per atom

---

Number 1: mass density 7.91 g/cm³, density of states at the Fermi level 4.00 states/eV/cell. Number 2: mass density 7.08 g/cm³, density of states at the Fermi level 7.50 states/eV/cell. Number 3: mass density 6.50 g/cm³, density of states at the Fermi level 4.78 states/eV/cell. Number 4: mass density 7.89 g/cm³, density of states at the Fermi level 9.68 states/eV/cell. Number 5: mass density 9.11 g/cm³, density of states at the Fermi level 4.95 states/eV/cell. Number 6: mass density 5.63 g/cm³, density of states at the Fermi level 6.63 states/eV/cell.